Entry 1:
# PBE TaBe2Pt, optimized geometry
# **Magnetization**: 0.000 μB/f.u.
# **Final energy**: -0.2395 hartree per atom
# **Crystal system**: monoclinic
# **Energy above the most stable polymorph in this dataset**: 221.0 meV per atom
# **Formation energy from the elements**: -0.181 eV per atom
# **DOS at the Fermi energy**: 2.73 states/eV/f.u.
data_TaBe2Pt
_chemical_formula_sum 'Ta2 Be4 Pt2'
_symmetry_space_group_name_H-M 'C 1 2/m 1'
_symmetry_Int_Tables_number 12
_cell_length_a 7.576
_cell_length_b 2.775
_cell_length_c 5.096
_cell_angle_alpha 90.00
_cell_angle_beta 101.50
_cell_angle_gamma 90.00
loop_
_symmetry_equiv_pos_as_xyz
'x,y,z'
'-x,-y,-z'
'-x,y,-z'
'x,-y,z'
'x+1/2,y+1/2,z'
'-x+1/2,-y+1/2,-z'
'-x+1/2,y+1/2,-z'
'x+1/2,-y+1/2,z'
loop_
_atom_site_label
_atom_site_fract_x
_atom_site_fract_y
_atom_site_fract_z
_atom_site_occupancy
Ta1 0.000 0.000 0.000 1
Be1 0.242 0.000 0.692 1
Pt1 0.000 0.500 0.500 1


Entry 2:
# PBE TaBe2Pt, optimized geometry
# **Magnetization**: 0.000 μB/f.u.
# **Final energy**: -0.2417 hartree per atom
# **Crystal system**: tetragonal
# **Energy above the most stable polymorph in this dataset**: 161.8 meV per atom
# **Formation energy from the elements**: -0.240 eV per atom
# **DOS at the Fermi energy**: 1.57 states/eV/f.u.
data_TaBe2Pt
_chemical_formula_sum 'Ta2 Be4 Pt2'
_symmetry_space_group_name_H-M 'I -4 m 2'
_symmetry_Int_Tables_number 119
_symmetry_space_group_name_Hall 'I -4 -2'
_cell_length_a 3.726
_cell_length_b 3.726
_cell_length_c 7.538
_cell_angle_alpha 90.00
_cell_angle_beta 90.00
_cell_angle_gamma 90.00
loop_
_atom_site_label
_atom_site_fract_x
_atom_site_fract_y
_atom_site_fract_z
_atom_site_occupancy
Ta1 0.000 0.000 0.000 1
Be1 0.000 0.000 0.500 1
Be2 0.000 0.500 0.750 1
Pt1 0.000 0.500 0.250 1


Entry 3:
# PBE TaBe2Pt, optimized geometry
# **Magnetization**: 0.000 μB/f.u.
# **Final energy**: -0.2416 hartree per atom
# **Crystal system**: monoclinic
# **Energy above the most stable polymorph in this dataset**: 162.8 meV per atom
# **Formation energy from the elements**: -0.239 eV per atom
# **DOS at the Fermi energy**: 1.84 states/eV/f.u.
data_TaBe2Pt
_chemical_formula_sum 'Ta2 Be4 Pt2'
_symmetry_space_group_name_H-M 'C 1 m 1'
_symmetry_Int_Tables_number 8
_cell_length_a 9.486
_cell_length_b 2.888
_cell_length_c 4.085
_cell_angle_alpha 90.00
_cell_angle_beta 115.35
_cell_angle_gamma 90.00
loop_
_symmetry_equiv_pos_as_xyz
'x,y,z'
'x,-y,z'
'x+1/2,y+1/2,z'
'x+1/2,-y+1/2,z'
loop_
_atom_site_label
_atom_site_fract_x
_atom_site_fract_y
_atom_site_fract_z
_atom_site_occupancy
Ta1 0.000 0.000 0.000 1
Be1 0.273 0.500 0.273 1
Be2 0.472 0.000 0.473 1
Pt1 0.221 0.000 0.721 1


Entry 4:
# PBE Ta4BePt, optimized geometry
# **Magnetization**: 0.000 μB/f.u.
# **Final energy**: -0.3606 hartree per atom
# **Crystal system**: tetragonal
# **Energy above the most stable polymorph in this dataset**: 0.0 meV per atom
# **Formation energy from the elements**: -0.284 eV per atom
# **DOS at the Fermi energy**: 4.98 states/eV/f.u.
data_Ta4BePt
_chemical_formula_sum 'Ta8 Be2 Pt2'
_symmetry_space_group_name_H-M 'P 4/m c c'
_symmetry_Int_Tables_number 124
_symmetry_space_group_name_Hall '-P 4 2c'
_cell_length_a 6.207
_cell_length_b 6.207
_cell_length_c 5.102
_cell_angle_alpha 90.00
_cell_angle_beta 90.00
_cell_angle_gamma 90.00
loop_
_atom_site_label
_atom_site_fract_x
_atom_site_fract_y
_atom_site_fract_z
_atom_site_occupancy
Ta1 0.143 0.327 0.000 1
Be1 0.000 0.000 0.250 1
Pt1 0.500 0.500 0.250 1


Entry 5:
# PBE TaBe2Pt, optimized geometry
# **Magnetization**: 0.000 μB/f.u.
# **Final energy**: -0.2338 hartree per atom
# **Crystal system**: trigonal
# **Energy above the most stable polymorph in this dataset**: 375.8 meV per atom
# **Formation energy from the elements**: -0.026 eV per atom
# **DOS at the Fermi energy**: 1.62 states/eV/f.u.
data_TaBe2Pt
_chemical_formula_sum 'Ta3 Be6 Pt3'
_symmetry_space_group_name_H-M 'R -3 m'
_symmetry_Int_Tables_number 166
_symmetry_space_group_name_Hall '-R 3 2"'
_cell_length_a 2.8160
_cell_length_b 2.8160
_cell_length_c 23.5953
_cell_angle_alpha 90.00
_cell_angle_beta 90.00
_cell_angle_gamma 120.00
loop_
_atom_site_label
_atom_site_fract_x
_atom_site_fract_y
_atom_site_fract_z
_atom_site_occupancy
Ta1 0.0000 0.0000 0.0000 1
Be1 0.0000 0.0000 0.2424 1
Pt1 0.0000 0.0000 0.5000 1


Entry 6:
# PBE TaBePt, optimized geometry
# **Magnetization**: 0.000 μB/f.u.
# **Final energy**: -0.2881 hartree per atom
# **Crystal system**: orthorhombic
# **Energy above the most stable polymorph in this dataset**: 0.0 meV per atom
# **Formation energy from the elements**: -0.633 eV per atom
# **DOS at the Fermi energy**: 2.02 states/eV/f.u.
data_TaBePt
_chemical_formula_sum 'Ta4 Be4 Pt4'
_symmetry_space_group_name_H-M 'P n m a'
_symmetry_Int_Tables_number 62
_cell_length_a 6.376
_cell_length_b 3.554
_cell_length_c 7.256
_cell_angle_alpha 90.00
_cell_angle_beta 90.00
_cell_angle_gamma 90.00
loop_
_symmetry_equiv_pos_as_xyz
'x,y,z'
'-x,-y,-z'
'-x+1/2,-y,z+1/2'
'x+1/2,y,-z+1/2'
'x+1/2,-y+1/2,-z+1/2'
'-x+1/2,y+1/2,z+1/2'
'-x,y+1/2,-z'
'x,-y+1/2,z'
loop_
_atom_site_label
_atom_site_fract_x
_atom_site_fract_y
_atom_site_fract_z
_atom_site_occupancy
Ta1 0.021 0.250 0.169 1
Be1 0.228 0.750 0.374 1
Pt1 0.152 0.250 0.569 1